[1]
Compound: PmPrDyY
Source: Alexandria
Functional: PBE-GGA
Structure: relaxed

a = 5.7615 Å, b = 5.7615 Å, c = 5.7615 Å
α = 60.00°, β = 60.00°, γ = 60.00°
Positions (direct):
Pm (0.0000, 0.0000, 0.0000)
Pr (0.5000, 0.5000, 0.5000)
Dy (0.7500, 0.7500, 0.7500)
Y (0.2500, 0.2500, 0.2500)

Summary:
formation energy from the elements	0.110	eV/atom
symmetry	F-43m (216)
magnetization	0.00	μB/cell
ΔE to the lowest computed polymorph	92	meV per atom
E	-20.2	eV/cell



[2]
Compound: Li2Ag7Pd3
Source: Alexandria
Functional: PBE-GGA
Structure: relaxed

a = 15.5919 Å, b = 15.5919 Å, c = 2.9218 Å
α = 90.00°, β = 90.00°, γ = 162.69°
Positions (direct):
Li (0.1717, 0.8283, 0.0000)
Li (0.8283, 0.1717, 0.0000)
Ag (0.0000, 0.0000, 0.0000)
Ag (0.0915, 0.9085, 0.5000)
Ag (0.2733, 0.7267, 0.0000)
Ag (0.4253, 0.5747, 0.0000)
Ag (0.5747, 0.4253, 0.0000)
Ag (0.7267, 0.2733, 0.0000)
Ag (0.9085, 0.0915, 0.5000)
Pd (0.3490, 0.6510, 0.5000)
Pd (0.5000, 0.5000, 0.5000)
Pd (0.6510, 0.3490, 0.5000)

Summary:
formation energy from the elements	-0.058	eV/atom
symmetry	Cmmm (65)
magnetization	0.00	μB/cell
E	-40.1	eV/cell